(1)
PmPuCdCu: optimized geometry, GGA-PBE.

a = 7.3791 Å, b = 7.3791 Å, c = 7.3791 Å
α = 90.00°, β = 90.00°, γ = 90.00°
With the nearest neighbours (Å) after each atom.
Space group F-43m (No. 216)
Symmetry-distinct sites (fractional):
Pm1 0.0000 0.0000 0.0000 [4 per cell]  4 Cd 3.20, 4 Cu 3.20
Pu1 0.0000 0.0000 0.5000 [4 per cell]  4 Cu 3.20, 4 Cd 3.20
Cd1 0.2500 0.2500 0.2500 [4 per cell]  4 Pu 3.20, 4 Pm 3.20
Cu1 0.2500 0.2500 0.7500 [4 per cell]  4 Pm 3.20, 4 Pu 3.20

- ΔH_f (0 K) (eV per atom) = 0.021
- total magnetic moment (μB/f.u.) = 6.10
- Fermi-level density of states (states/eV per cell) = 47.30
- VASP energy (eV/atom) = -6.00

(2)
PmCdCuRh: optimized geometry, GGA-PBE.

a = 6.7922 Å, b = 6.7922 Å, c = 6.7922 Å
α = 90.00°, β = 90.00°, γ = 90.00°
With the nearest neighbours (Å) after each atom.
Space group F-43m (No. 216)
Symmetry-distinct sites (fractional):
Pm1 0.0000 0.0000 0.0000 [4 per cell]  4 Rh 2.94, 4 Cu 2.94
Cd1 0.0000 0.0000 0.5000 [4 per cell]  4 Cu 2.94, 4 Rh 2.94
Cu1 0.2500 0.2500 0.7500 [4 per cell]  4 Cd 2.94, 4 Pm 2.94
Rh1 0.2500 0.2500 0.2500 [4 per cell]  4 Cd 2.94, 4 Pm 2.94

- ΔH_f (0 K) (eV per atom) = -0.288
- total magnetic moment (μB/f.u.) = 0.00
- Fermi-level density of states (states/eV per cell) = 10.34
- VASP energy (eV/atom) = -4.57